[1]
! GdTlPdRh | Alexandria via LeMat-Bulk | GGA-PBE | relaxed; values from VASP
&SYSTEM
  ibrav = 0, nat = 4, ntyp = 4
/
ATOMIC_SPECIES
Gd 157.25 Gd.upf
Tl 204.38 Tl.upf
Pd 106.42 Pd.upf
Rh 102.91 Rh.upf
CELL_PARAMETERS angstrom
0.0000 3.4093 3.4093
3.4093 0.0000 3.4093
3.4093 3.4093 0.0000
ATOMIC_POSITIONS crystal
Gd 0.0000 0.0000 0.0000
Tl 0.5000 0.5000 0.5000
Pd 0.2500 0.2500 0.2500
Rh 0.7500 0.7500 0.7500
! size of the total moment = 7.1 μB per cell
! energy of formation from the pure elements = -538 meV per atom
! theoretical density = 11962 kg/m³
! energy = -7.786 eV per atom

[2]
! FeCu2Tc | Alexandria via LeMat-Bulk | GGA-PBE | relaxed; values from VASP
&SYSTEM
  ibrav = 0, nat = 4, ntyp = 3
/
ATOMIC_SPECIES
Fe 55.84 Fe.upf
Cu 63.55 Cu.upf
Tc 98.00 Tc.upf
CELL_PARAMETERS angstrom
2.5378 0.0000 0.0000
0.0000 2.5378 0.0000
0.0000 0.0000 7.8852
ATOMIC_POSITIONS crystal
Fe 0.0000 0.0000 0.0000
Cu 0.5000 0.5000 0.2390
Cu 0.5000 0.5000 0.7610
Tc 0.0000 0.0000 0.5000
! size of the total moment = 2.7 μB per cell
! energy of formation from the pure elements = 204 meV per atom
! theoretical density = 9186 kg/m³
! energy = -6.552 eV per atom

[3]
! Pm5ThZn4 | Alexandria via LeMat-Bulk | GGA-PBE | relaxed; values from VASP
&SYSTEM
  ibrav = 0, nat = 10, ntyp = 3
/
ATOMIC_SPECIES
Pm 145.00 Pm.upf
Th 232.04 Th.upf
Zn 65.41 Zn.upf
CELL_PARAMETERS angstrom
3.6423 0.0000 0.0000
0.0000 3.6423 0.0000
0.0000 0.0000 19.7309
ATOMIC_POSITIONS crystal
Pm 0.0000 0.0000 0.0000
Pm 0.0000 0.0000 0.1852
Pm 0.0000 0.0000 0.3736
Pm 0.0000 0.0000 0.6264
Pm 0.0000 0.0000 0.8148
Th 0.5000 0.5000 0.5000
Zn 0.5000 0.5000 0.0930
Zn 0.5000 0.5000 0.2797
Zn 0.5000 0.5000 0.7203
Zn 0.5000 0.5000 0.9070
! size of the total moment = 0.0 μB per cell
! energy of formation from the pure elements = -246 meV per atom
! theoretical density = 7731 kg/m³
! energy = -3.873 eV per atom

[4]
! Na8AsSe6 | Alexandria via LeMat-Bulk | GGA-PBE | relaxed; values from VASP
&SYSTEM
  ibrav = 0, nat = 30, ntyp = 3
/
ATOMIC_SPECIES
Na 22.99 Na.upf
As 74.92 As.upf
Se 78.96 Se.upf
CELL_PARAMETERS angstrom
8.2851 0.0000 0.0000
0.0000 8.5969 0.0000
0.0000 0.0000 11.8949
ATOMIC_POSITIONS crystal
Na 0.0000 0.1288 0.0000
Na 0.0000 0.2372 0.4473
Na 0.1819 0.6329 0.1133
Na 0.1971 0.5717 0.8081
Na 0.2323 0.9327 0.7605
Na 0.2677 0.0673 0.2605
Na 0.3029 0.4283 0.3081
Na 0.3181 0.3671 0.6133
Na 0.5000 0.7628 0.9473
Na 0.5000 0.8712 0.5000
Na 0.6819 0.3671 0.6133
Na 0.6971 0.4283 0.3081
Na 0.7323 0.0673 0.2605
Na 0.7677 0.9327 0.7605
Na 0.8029 0.5717 0.8081
Na 0.8181 0.6329 0.1133
As 0.0000 0.7425 0.4627
As 0.5000 0.2575 0.9627
Se 0.0000 0.2986 0.2155
Se 0.0000 0.5024 0.5946
Se 0.0000 0.7825 0.9376
Se 0.0000 0.9723 0.5814
Se 0.2444 0.7515 0.3437
Se 0.2556 0.2485 0.8437
Se 0.5000 0.0277 0.0814
Se 0.5000 0.2175 0.4376
Se 0.5000 0.4976 0.0946
Se 0.5000 0.7014 0.7155
Se 0.7444 0.2485 0.8437
Se 0.7556 0.7515 0.3437
! size of the total moment = 0.0 μB per cell
! theoretical density = 2872 kg/m³
! energy = -3.225 eV per atom

[5]
! CuReC3 | Alexandria via LeMat-Bulk | GGA-PBE | relaxed; values from VASP
&SYSTEM
  ibrav = 0, nat = 5, ntyp = 3
/
ATOMIC_SPECIES
Cu 63.55 Cu.upf
Re 186.21 Re.upf
C 12.01 C.upf
CELL_PARAMETERS angstrom
3.7213 0.0000 0.0000
0.0000 3.7213 0.0000
0.0000 0.0000 3.7213
ATOMIC_POSITIONS crystal
Cu 0.0000 0.0000 0.0000
Re 0.5000 0.5000 0.5000
C 0.0000 0.0000 0.5000
C 0.0000 0.5000 0.0000
C 0.5000 0.0000 0.0000
! size of the total moment = 0.9 μB per cell
! energy of formation from the pure elements = 2891 meV per atom
! theoretical density = 9209 kg/m³
! energy = -5.952 eV per atom